The following is a GGA+U calculation of crystalline BeCoRh2O6 at its relaxed geometry, from Alexandria.

Geometry as POSCAR:
```
BeCoRh2O6
1.0
4.2342 0.0000 0.0000
0.0000 5.0154 0.0000
0.0000 0.0000 5.0154
O Rh Co Be
6 2 1 1
Cartesian
0.8838 0.0000 0.0000 O
3.0651 3.8044 3.8044 O
3.0651 3.8044 1.2110 O
3.0651 1.2110 1.2110 O
0.9113 2.5077 2.5077 O
3.0651 1.2110 3.8044 O
4.0565 0.0000 2.5077 Rh
4.0565 2.5077 0.0000 Rh
2.7174 2.5077 2.5077 Co
2.4109 0.0000 0.0000 Be
```

Total DFT energy (no corrections), eV per cell: -58.3
Space group: P4mm
Density, Mg/m³: 5.765